(1)
Entry from Alexandria: crystalline Sc2NiC at its relaxed geometry (PBE).

N(E_F) = 0.620 states/eV per atom
formation energy from the elements = -0.17 eV per formula unit

Cell: 7.5622 7.5622 7.5622 Å, 24.67 24.67 24.67°
Element x y z (fractional)
Sc  0.1103  0.1103  0.1103
Sc  0.8897  0.8897  0.8897
Ni  0.0000  0.0000  0.0000
C  0.5000  0.5000  0.5000


(2)
Entry from Alexandria: crystalline CePrTe3 at its relaxed geometry (PBE).

distance to the lowest polymorph of the same formula = 55 meV/atom
N(E_F) = 1.384 states/eV per atom
energy relative to the elements, uncorrected = -1.360 eV/atom

Cell: 4.4764 7.7286 9.8907 Å, 90.00 90.00 90.00°
Element x y z (fractional)
Ce  0.2500  0.2500  0.1036
Ce  0.7500  0.7500  0.8964
Pr  0.2500  0.7500  0.3435
Pr  0.7500  0.2500  0.6565
Te  0.2500  0.0229  0.8278
Te  0.2500  0.2500  0.4317
Te  0.2500  0.4771  0.8278
Te  0.7500  0.5229  0.1722
Te  0.7500  0.7500  0.5683
Te  0.7500  0.9771  0.1722